Record 1
5
Lattice="1.222 -6.054 -2.537 5.226 -3.324 2.494 -6.014 2.767 0.869" Properties=species:S:1:pos:R:3 comment="GGA-PBE Cs2CdO2, optimized geometry" dft_energy_ev_per_fu=-17.309 space_group="Immm (71)" pbc="T T T"
Cs 2.105 -3.062 -0.014
Cs 4.342 -6.316 -0.029
O 0.444 -1.498 1.676
O -0.011 -5.113 -0.850
Cd 0.000 0.000 0.000

***

Record 2
3
Lattice="-4.108 -1.844 1.785 -3.056 2.834 2.467 -4.259 1.241 -1.946" Properties=species:S:1:pos:R:3 comment="GGA-PBE PaTaCd, optimized geometry" total_magnetization_mub_per_fu=1.13 space_group="F-43m (216)" formation_enthalpy_0k_ev_per_atom=1.368 pbc="T T T"
Cd -5.711 1.115 1.153
Ta 0.000 0.000 0.000
Pa -2.856 0.558 0.577

***

Record 3
3
Lattice="-0.294 -2.246 3.708 -3.852 -0.476 1.953 -1.951 -3.882 0.040" Properties=species:S:1:pos:R:3 comment="GGA-PBE ReHgPd, optimized geometry" total_magnetization_mub_per_fu=1.01 space_group="F-43m (216)" formation_enthalpy_0k_ev_per_atom=1.048 e_above_lowest_polymorph_mev_per_atom=0.0 pbc="T T T"
Pd 0.000 0.000 0.000
Re -4.573 -4.953 4.276
Hg -1.524 -1.651 1.425

***

Record 4
8
Lattice="-0.950 -1.736 2.346 1.432 -1.294 -2.386 11.951 1.820 6.186" Properties=species:S:1:pos:R:3 comment="GGA-PBE Ta2GeN, optimized geometry" total_magnetization_mub_per_fu=0.00 space_group="P6_3/mmc (194)" e_above_lowest_polymorph_mev_per_atom=42.4 pbc="T T T"
Ta 5.468 -0.706 1.691
Ta 6.966 -0.504 4.454
Ta 10.650 0.057 6.361
Ta 1.784 -1.267 -0.216
N 5.976 0.910 3.093
N 0.000 0.000 0.000
Ge 2.832 -1.134 2.315
Ge 9.602 -0.076 3.831

***

Record 5
3
Lattice="0.000 2.796 2.796 2.796 0.000 2.796 2.796 2.796 0.000" Properties=species:S:1:pos:R:3 comment="GGA-PBE CuAgB, optimized geometry" space_group="F-43m (216)" e_above_lowest_polymorph_mev_per_atom=540.4 pbc="T T T"
Cu 4.194 4.194 4.194
Ag 0.000 0.000 0.000
B 1.398 1.398 1.398

***

Record 6
12
Lattice="5.687 4.455 -0.157 -5.773 -2.320 3.676 6.320 -7.893 4.943" Properties=species:S:1:pos:R:3 comment="GGA-PBE SmCuSnTeSe2, optimized geometry" total_magnetization_mub_per_fu=0.00 dft_energy_ev_per_fu=-27.661 space_group="Cmcm (63)" pbc="T T T"
Se 4.217 -1.364 3.338
Se 2.017 -4.394 5.123
Se 4.237 -7.167 6.860
Se 1.997 1.409 1.602
Te 6.168 1.832 1.446
Te 0.066 -7.590 7.015
Sm 0.000 0.000 0.000
Sm 3.160 -3.947 2.471
Cu 1.865 -0.712 2.885
Cu 4.369 -5.046 5.576
Sn 7.946 -2.932 4.380
Sn -1.712 -2.827 4.082

***

Record 7
9
Lattice="-0.599 -1.558 3.445 8.081 -0.958 0.972 -3.657 6.900 2.485" Properties=species:S:1:pos:R:3 comment="GGA-PBE HoTm3Sc2CuTe2, optimized geometry" total_magnetization_mub_per_fu=0.02 dft_energy_ev_per_fu=-45.994 space_group="Amm2 (38)" pbc="T T T"
Cu 4.418 5.934 3.452
Ho 1.781 2.393 1.392
Sc 1.180 6.325 3.065
Sc 5.890 3.172 2.458
Te 3.909 0.867 3.199
Te -0.073 3.532 3.712
Tm 3.045 3.714 4.336
Tm 6.856 -0.043 3.300
Tm -1.964 5.862 4.437

***

Record 8
20
Lattice="-4.006 -2.731 -0.046 -4.006 2.731 -0.046 -0.030 0.000 -15.479" Properties=species:S:1:pos:R:3 comment="GGA-PBE SrTe2AuO6, optimized geometry" dft_energy_ev_per_fu=-52.959 space_group="C2/c (15)" pbc="T T T"
Au 0.000 0.000 0.000
Au -0.015 0.000 -7.740
O -4.441 -1.097 -1.448
O -4.264 1.624 -5.977
O -3.777 -1.624 -9.595
O -5.643 0.426 -12.267
O -4.279 -1.624 -13.716
O -5.629 -0.426 -4.527
O -3.600 1.097 -14.123
O -2.398 -0.426 -3.305
O -4.456 1.097 -9.188
O -3.762 1.624 -1.855
O -2.412 0.426 -11.044
O -3.585 -1.097 -6.384
Sr -4.013 -2.376 -3.916
Sr -4.028 2.376 -11.656
Te -2.837 -0.016 -1.556
Te -2.852 0.016 -9.295
Te -5.189 -0.016 -6.276
Te -5.204 0.016 -14.016